Entry 1:
SrPaN3 | the Alexandria database | PBE-GGA | relaxed; calculated total energy = -8.258 eV/atom; raw formation energy = -5.1 eV per formula unit; space group = No. 12; V = 19.57 Å³/atom
1.0
4.1232 0.0000 0.0000
-2.0616 7.0970 0.0048
0.0000 -1.8780 6.6861
N Sr Pa
6 2 2
Cartesian
0.0000 4.5102 0.0315
2.0616 0.7088 6.6594
0.0000 0.2004 0.5888
2.0616 3.9619 2.7801
0.0000 1.2571 3.9108
2.0616 5.0187 6.1021
0.0000 3.8333 4.3054
2.0616 1.3858 2.3855
0.0000 0.4935 5.8048
2.0616 4.7256 0.8861

=====

Entry 2:
VReSb2I | the Alexandria database | PBE-GGA | relaxed; calculated total energy = -4.877 eV/atom; raw formation energy = 7.0 eV per formula unit; space group = No. 123; V = 28.79 Å³/atom
1.0
-4.9584 -1.3758 -0.0417
0.8629 -3.2287 3.9130
-1.1329 3.9758 3.5303
Re V Sb I
1 1 2 1
Cartesian
-2.6142 -0.3144 3.7008
0.0000 0.0000 0.0000
-2.4792 -0.6879 -0.0209
0.4315 -1.6143 1.9565
-0.5665 1.9879 1.7652

=====

Entry 3:
SrAg3Au9 | the Alexandria database | PBE-GGA | relaxed; calculated total energy = -3.233 eV/atom; energy relative to the elements = -177 meV/atom; space group = No. 12; V = 19.90 Å³/atom
1.0
1.6046 -5.1945 1.4441
1.7319 -4.2254 -5.7807
7.2522 -0.4948 1.1177
Au Ag Sr
9 3 1
Cartesian
6.4100 -4.9362 -2.5170
3.6855 -2.9655 -3.3569
2.4040 -2.4826 -0.6009
3.7396 -6.0223 -3.5635
0.8660 -2.1127 -2.8903
8.1848 -7.4321 -2.6180
4.1788 -4.9785 -0.7019
6.8492 -3.8924 0.3447
6.9033 -6.9492 0.1381
1.6683 -4.7100 -2.1683
3.6261 -0.2474 0.5589
4.4284 -2.8446 1.2809
0.0000 0.0000 0.0000

=====

Entry 4:
SrMgTc | the Alexandria database | PBE-GGA | relaxed; calculated total energy = -3.958 eV/atom; energy relative to the elements = 590 meV/atom; energy above the most stable polymorph in this dataset = 0.000 eV per atom; space group = No. 107; V = 24.59 Å³/atom
1.0
-1.5528 -3.8776 4.7594
-2.8547 -5.3603 1.7926
2.5416 -2.4937 0.1309
Tc Mg Sr
1 1 1
Cartesian
-1.8896 -6.7944 4.2254
2.2471 -2.7798 0.4029
0.3183 -4.6511 2.1854

=====

Entry 5:
BeCdAs2 | the Alexandria database | PBE-GGA | relaxed; calculated total energy = -3.405 eV/atom; energy relative to the elements = 80 meV/atom; energy above the most stable polymorph in this dataset = 0.016 eV per atom; space group = No. 8; V = 19.89 Å³/atom
1.0
-1.7117 -3.1036 2.0917
-1.9298 -3.2947 -1.5357
4.1015 -4.7639 0.0044
As Be Cd
2 1 1
Cartesian
-0.6853 -8.3427 0.4807
0.5427 -10.6439 0.5281
1.0083 -6.6843 0.2915
0.2843 -2.2346 0.1006

=====

Entry 6:
Ac3Pm | the Alexandria database | PBE-GGA | relaxed; calculated total energy = -4.221 eV/atom; energy relative to the elements = 48 meV/atom; energy above the most stable polymorph in this dataset = 0.024 eV per atom; space group = No. 44; V = 42.51 Å³/atom
1.0
-2.2973 2.9254 1.3158
-4.1093 -4.5479 2.9365
6.6499 1.1280 3.1874
Ac Pm
3 1
Cartesian
0.3802 -1.3596 3.6868
1.2239 2.3713 2.7804
-3.1905 -0.7971 2.1170
-0.0040 -0.0044 0.0028

=====

Entry 7:
MgPt2Rh | the Alexandria database | PBE-GGA | relaxed; calculated total energy = -5.680 eV/atom; energy relative to the elements = -424 meV/atom; space group = No. 8; V = 15.34 Å³/atom
1.0
-3.5300 3.3204 0.0881
-4.3302 1.3256 -1.7281
-2.8101 -1.9203 3.3472
Rh Mg Pt
1 1 2
Cartesian
-5.3699 1.3451 0.8885
-2.6477 0.6929 0.4054
-7.8688 4.6218 -1.6096
-7.9790 2.0747 1.2366

=====

Entry 8:
In2SnHg2 | the Alexandria database | PBE-GGA | relaxed; calculated total energy = -1.904 eV/atom; energy relative to the elements = 112 meV/atom; energy above the most stable polymorph in this dataset = 0.080 eV per atom; space group = No. 139; V = 28.15 Å³/atom
1.0
4.2005 0.0000 0.0000
0.0000 4.2005 0.0000
2.1002 2.1002 7.9760
Sn Hg In
1 2 2
Cartesian
0.0000 0.0000 0.0000
4.2005 2.1002 3.9880
2.1002 4.2005 3.9880
4.2005 4.2005 6.4240
2.1002 2.1002 1.5520

=====

Entry 9:
BaSbCl2 | the Alexandria database | PBE-GGA | relaxed; calculated total energy = -3.540 eV/atom; raw formation energy = -4.4 eV per formula unit; energy above the most stable polymorph in this dataset = 0.195 eV per atom; space group = No. 160; V = 34.91 Å³/atom
1.0
-5.1706 0.7018 4.5848
-2.0794 -3.0929 5.8616
-0.6852 1.6964 6.7008
Cl Sb Ba
2 1 1
Cartesian
-1.6359 -0.1432 3.5350
-0.1343 -0.0118 0.2902
-4.2972 -0.3762 9.2858
-5.8355 -0.5109 12.6099

=====

Entry 10:
Ce4TlSn | the Alexandria database | PBE-GGA | relaxed; calculated total energy = -5.295 eV/atom; energy relative to the elements = -278 meV/atom; energy above the most stable polymorph in this dataset = 0.000 eV per atom; space group = No. 15; V = 27.72 Å³/atom
1.0
-5.3155 -2.6739 2.0109
0.3998 -2.4810 -7.4852
5.4284 -3.3479 4.6549
Tl Ce Sn
2 8 2
Cartesian
-0.5624 -5.0078 1.3244
1.0752 -3.4950 -2.1439
2.7643 -4.9275 0.1747
-4.2358 -4.3484 -2.7367
-1.0703 -6.0616 -1.6610
4.7485 -4.1545 1.9172
1.5830 -2.4412 0.8415
1.3655 -3.5188 3.3640
-2.2516 -3.5754 -0.9942
-0.8527 -4.9841 -4.1835
1.4360 -5.3523 6.1490
-0.9233 -3.1505 -6.9685

=====

Entry 11:
CaMgFe3 | the Alexandria database | PBE-GGA | relaxed; calculated total energy = -4.652 eV/atom; energy relative to the elements = 1145 meV/atom; space group = No. 221; V = 20.38 Å³/atom
1.0
4.6710 0.0000 0.0000
0.0000 4.6710 0.0000
0.0000 0.0000 4.6710
Mg Fe Ca
1 3 1
Cartesian
0.0000 0.0000 0.0000
0.0000 2.3355 0.0000
0.0000 0.0000 2.3355
2.3355 0.0000 0.0000
2.3355 2.3355 2.3355

=====

Q: Among the records above, which one has the highest V?
A: Ac3Pm

=====

Q: What is the V in the sixth record?
A: 42.51 Å³/atom